Record 1
VASP calculation (PBE) on crystalline Mg2Cd3Hg6 at its relaxed geometry.

Geometry as CIF:
```
data_Mg2Cd3Hg6
_chemical_formula_sum 'Mg2 Cd3 Hg6'
_cell_length_a 4.596
_cell_length_b 4.596
_cell_length_c 14.077
_cell_angle_alpha 99.39
_cell_angle_beta 99.39
_cell_angle_gamma 90.00
_space_group_name_H-M_alt 'P 1'
_space_group_IT_number 1
loop_
_space_group_symop_operation_xyz
'x,y,z'
loop_
_atom_site_label
_atom_site_type_symbol
_atom_site_fract_x
_atom_site_fract_y
_atom_site_fract_z
Hg1 Hg 0.260 0.260 0.520
Hg2 Hg 0.429 0.929 0.858
Hg3 Hg 0.740 0.740 0.480
Hg4 Hg 0.929 0.429 0.858
Hg5 Hg 0.071 0.571 0.142
Hg6 Hg 0.571 0.071 0.142
Mg1 Mg 0.361 0.361 0.722
Mg2 Mg 0.639 0.639 0.278
Cd1 Cd 0.154 0.154 0.308
Cd2 Cd 0.000 0.000 0.000
Cd3 Cd 0.846 0.846 0.692
```

Computed properties:
The density of states at the Fermi level is 0.43 states/eV per atom. As for the formation energy from the elements: 16.3 meV per atom. Its relative energy among the computed polymorphs is 52 meV/atom. The value obtained for the volume is 26.297 A^3/atom. The energy is -0.688 eV per atom. The value obtained for the spin magnetization is 0.00 μB/cell.

=====

Record 2
VASP calculation (PBE) on crystalline Mg2CdHg at its relaxed geometry.

Geometry as CIF:
```
data_Mg2CdHg
_chemical_formula_sum 'Mg2 Cd1 Hg1'
_cell_length_a 3.623
_cell_length_b 4.105
_cell_length_c 5.970
_cell_angle_alpha 90.00
_cell_angle_beta 90.00
_cell_angle_gamma 90.00
_space_group_name_H-M_alt 'P 1'
_space_group_IT_number 1
loop_
_space_group_symop_operation_xyz
'x,y,z'
loop_
_atom_site_label
_atom_site_type_symbol
_atom_site_fract_x
_atom_site_fract_y
_atom_site_fract_z
Hg1 Hg 0.500 0.500 0.770
Mg1 Mg 0.500 0.500 0.266
Mg2 Mg 0.000 0.000 0.980
Cd1 Cd 0.000 0.000 0.484
```

Computed properties:
The density of states at the Fermi level is 0.21 states/eV per atom. As for the formation energy from the elements: -110.4 meV per atom. Its relative energy among the computed polymorphs is 56 meV/atom. The value obtained for the volume is 22.199 A^3/atom. The energy is -1.212 eV per atom. The value obtained for the spin magnetization is 0.00 μB/cell.

=====

Record 3
VASP calculation (PBE) on crystalline Mg3Cd4Hg16 at its relaxed geometry.

Geometry as CIF:
```
data_Mg3Cd4Hg16
_chemical_formula_sum 'Mg3 Cd4 Hg16'
_cell_length_a 6.859
_cell_length_b 6.859
_cell_length_c 12.817
_cell_angle_alpha 90.00
_cell_angle_beta 90.00
_cell_angle_gamma 90.00
_space_group_name_H-M_alt 'P 1'
_space_group_IT_number 1
loop_
_space_group_symop_operation_xyz
'x,y,z'
loop_
_atom_site_label
_atom_site_type_symbol
_atom_site_fract_x
_atom_site_fract_y
_atom_site_fract_z
Hg1 Hg 0.740 0.740 0.366
Hg2 Hg 0.500 0.500 0.193
Hg3 Hg 0.260 0.260 0.366
Hg4 Hg 0.260 0.260 0.634
Hg5 Hg 0.260 0.740 0.366
Hg6 Hg 0.720 0.280 0.000
Hg7 Hg 0.740 0.260 0.634
Hg8 Hg 0.720 0.720 0.000
Hg9 Hg 0.260 0.740 0.634
Hg10 Hg 0.500 0.500 0.807
Hg11 Hg 0.740 0.260 0.366
Hg12 Hg 0.740 0.740 0.634
Hg13 Hg 0.000 0.000 0.781
Hg14 Hg 0.280 0.280 0.000
Hg15 Hg 0.280 0.720 0.000
Hg16 Hg 0.000 0.000 0.219
Cd1 Cd 0.000 0.500 0.817
Cd2 Cd 0.500 0.000 0.183
Cd3 Cd 0.500 0.000 0.817
Cd4 Cd 0.000 0.500 0.183
Mg1 Mg 0.000 0.000 0.000
Mg2 Mg 0.500 0.000 0.500
Mg3 Mg 0.000 0.500 0.500
```

Computed properties:
The density of states at the Fermi level is 0.37 states/eV per atom. As for the formation energy from the elements: -0.5 meV per atom. The value obtained for the volume is 26.218 A^3/atom. The energy is -0.578 eV per atom. The value obtained for the spin magnetization is 0.00 μB/cell.

=====

Record 4
VASP calculation (PBE) on crystalline Mg7CdHg4 at its relaxed geometry.

Geometry as CIF:
```
data_Mg7CdHg4
_chemical_formula_sum 'Mg7 Cd1 Hg4'
_cell_length_a 5.166
_cell_length_b 8.539
_cell_length_c 7.302
_cell_angle_alpha 80.36
_cell_angle_beta 69.28
_cell_angle_gamma 72.39
_space_group_name_H-M_alt 'P 1'
_space_group_IT_number 1
loop_
_space_group_symop_operation_xyz
'x,y,z'
loop_
_atom_site_label
_atom_site_type_symbol
_atom_site_fract_x
_atom_site_fract_y
_atom_site_fract_z
Mg1 Mg 0.784 0.872 0.560
Mg2 Mg 0.069 0.670 0.192
Mg3 Mg 0.500 0.000 0.000
Mg4 Mg 0.349 0.583 0.720
Mg5 Mg 0.216 0.128 0.440
Mg6 Mg 0.931 0.330 0.808
Mg7 Mg 0.651 0.417 0.280
Hg1 Hg 0.574 0.219 0.633
Hg2 Hg 0.426 0.781 0.367
Hg3 Hg 0.287 0.343 0.084
Hg4 Hg 0.713 0.657 0.916
Cd1 Cd 0.000 0.000 0.000
```

Computed properties:
The density of states at the Fermi level is 0.37 states/eV per atom. As for the formation energy from the elements: -82.3 meV per atom. Its relative energy among the computed polymorphs is 53 meV/atom. The value obtained for the volume is 23.878 A^3/atom. The energy is -1.189 eV per atom. The value obtained for the spin magnetization is 0.00 μB/cell.

=====

Record 5
VASP calculation (PBE) on crystalline MgCd2Hg5 at its relaxed geometry.

Geometry as CIF:
```
data_MgCd2Hg5
_chemical_formula_sum 'Mg1 Cd2 Hg5'
_cell_length_a 6.272
_cell_length_b 6.272
_cell_length_c 6.271
_cell_angle_alpha 109.29
_cell_angle_beta 109.29
_cell_angle_gamma 109.84
_space_group_name_H-M_alt 'P 1'
_space_group_IT_number 1
loop_
_space_group_symop_operation_xyz
'x,y,z'
loop_
_atom_site_label
_atom_site_type_symbol
_atom_site_fract_x
_atom_site_fract_y
_atom_site_fract_z
Cd1 Cd 0.778 0.278 0.500
Cd2 Cd 0.278 0.778 0.500
Hg1 Hg 0.278 0.778 0.000
Hg2 Hg 0.278 0.278 0.500
Hg3 Hg 0.778 0.278 0.000
Hg4 Hg 0.778 0.778 0.500
Hg5 Hg 0.278 0.277 0.000
Mg1 Mg 0.777 0.777 0.000
```

Computed properties:
The density of states at the Fermi level is 0.24 states/eV per atom. As for the formation energy from the elements: -13.4 meV per atom. The value obtained for the volume is 23.734 A^3/atom. The energy is -0.630 eV per atom. The value obtained for the spin magnetization is 0.00 μB/cell.

=====

Record 6
VASP calculation (PBE) on crystalline Mg7Cd4Hg at its relaxed geometry.

Geometry as CIF:
```
data_Mg7Cd4Hg
_chemical_formula_sum 'Mg7 Cd4 Hg1'
_cell_length_a 5.180
_cell_length_b 8.526
_cell_length_c 7.456
_cell_angle_alpha 80.49
_cell_angle_beta 69.67
_cell_angle_gamma 72.32
_space_group_name_H-M_alt 'P 1'
_space_group_IT_number 1
loop_
_space_group_symop_operation_xyz
'x,y,z'
loop_
_atom_site_label
_atom_site_type_symbol
_atom_site_fract_x
_atom_site_fract_y
_atom_site_fract_z
Mg1 Mg 0.651 0.410 0.288
Mg2 Mg 0.349 0.590 0.712
Mg3 Mg 0.783 0.861 0.573
Mg4 Mg 0.500 0.000 0.000
Mg5 Mg 0.937 0.327 0.799
Mg6 Mg 0.063 0.673 0.201
Mg7 Mg 0.217 0.139 0.427
Cd1 Cd 0.571 0.216 0.641
Cd2 Cd 0.296 0.351 0.058
Cd3 Cd 0.704 0.649 0.942
Cd4 Cd 0.429 0.784 0.359
Hg1 Hg 0.000 0.000 0.000
```

Computed properties:
The density of states at the Fermi level is 0.35 states/eV per atom. As for the formation energy from the elements: 4.1 meV per atom. The value obtained for the volume is 24.459 A^3/atom. The energy is -1.256 eV per atom. The value obtained for the spin magnetization is 0.00 μB/cell.

=====

Record 7
VASP calculation (PBE) on crystalline Mg3Cd2Hg3 at its relaxed geometry.

Geometry as CIF:
```
data_Mg3Cd2Hg3
_chemical_formula_sum 'Mg3 Cd2 Hg3'
_cell_length_a 4.114
_cell_length_b 4.552
_cell_length_c 9.812
_cell_angle_alpha 103.41
_cell_angle_beta 102.10
_cell_angle_gamma 90.00
_space_group_name_H-M_alt 'P 1'
_space_group_IT_number 1
loop_
_space_group_symop_operation_xyz
'x,y,z'
loop_
_atom_site_label
_atom_site_type_symbol
_atom_site_fract_x
_atom_site_fract_y
_atom_site_fract_z
Mg1 Mg 0.500 0.000 0.000
Mg2 Mg 0.376 0.376 0.751
Mg3 Mg 0.624 0.624 0.249
Hg1 Hg 0.000 0.500 0.000
Hg2 Hg 0.124 0.124 0.248
Hg3 Hg 0.876 0.876 0.752
Cd1 Cd 0.749 0.249 0.498
Cd2 Cd 0.251 0.751 0.502
```

Computed properties:
The density of states at the Fermi level is 0.31 states/eV per atom. As for the formation energy from the elements: -131.5 meV per atom. The value obtained for the volume is 21.815 A^3/atom. The energy is -1.071 eV per atom. The value obtained for the spin magnetization is 0.00 μB/cell.

=====

Record 8
VASP calculation (PBE) on crystalline MgCdHg3 at its relaxed geometry.

Geometry as CIF:
```
data_MgCdHg3
_chemical_formula_sum 'Mg4 Cd4 Hg12'
_cell_length_a 6.556
_cell_length_b 8.958
_cell_length_c 8.958
_cell_angle_alpha 73.96
_cell_angle_beta 90.00
_cell_angle_gamma 90.00
_space_group_name_H-M_alt 'P 1'
_space_group_IT_number 1
loop_
_space_group_symop_operation_xyz
'x,y,z'
loop_
_atom_site_label
_atom_site_type_symbol
_atom_site_fract_x
_atom_site_fract_y
_atom_site_fract_z
Mg1 Mg 0.925 0.724 0.776
Mg2 Mg 0.425 0.776 0.724
Mg3 Mg 0.575 0.224 0.276
Mg4 Mg 0.075 0.276 0.224
Hg1 Hg 0.360 0.485 0.327
Hg2 Hg 0.860 0.327 0.485
Hg3 Hg 0.139 0.985 0.827
Hg4 Hg 0.861 0.015 0.173
Hg5 Hg 0.361 0.173 0.015
Hg6 Hg 0.746 0.970 0.530
Hg7 Hg 0.246 0.530 0.970
Hg8 Hg 0.254 0.030 0.470
Hg9 Hg 0.140 0.673 0.515
Hg10 Hg 0.639 0.827 0.985
Hg11 Hg 0.640 0.515 0.673
Hg12 Hg 0.754 0.470 0.030
Cd1 Cd 0.250 0.823 0.177
Cd2 Cd 0.250 0.323 0.677
Cd3 Cd 0.750 0.177 0.823
Cd4 Cd 0.750 0.677 0.323
```

Computed properties:
The density of states at the Fermi level is 0.28 states/eV per atom. As for the formation energy from the elements: -40.9 meV per atom. Its relative energy among the computed polymorphs is 22 meV/atom. The value obtained for the volume is 25.276 A^3/atom. The energy is -0.724 eV per atom. The value obtained for the spin magnetization is 0.00 μB/cell.

=====

Record 9
VASP calculation (PBE) on crystalline Mg3Cd3Hg5 at its relaxed geometry.

Geometry as CIF:
```
data_Mg3Cd3Hg5
_chemical_formula_sum 'Mg3 Cd3 Hg5'
_cell_length_a 3.281
_cell_length_b 9.801
_cell_length_c 9.801
_cell_angle_alpha 120.00
_cell_angle_beta 90.00
_cell_angle_gamma 90.00
_space_group_name_H-M_alt 'P 1'
_space_group_IT_number 1
loop_
_space_group_symop_operation_xyz
'x,y,z'
loop_
_atom_site_label
_atom_site_type_symbol
_atom_site_fract_x
_atom_site_fract_y
_atom_site_fract_z
Mg1 Mg 0.000 0.412 0.412
Mg2 Mg 0.000 0.000 0.588
Mg3 Mg 0.000 0.588 0.000
Hg1 Hg 0.500 0.333 0.667
Hg2 Hg 0.500 0.824 0.000
Hg3 Hg 0.500 0.176 0.176
Hg4 Hg 0.500 0.667 0.333
Hg5 Hg 0.500 0.000 0.824
Cd1 Cd 0.500 0.343 0.000
Cd2 Cd 0.500 0.657 0.657
Cd3 Cd 0.500 0.000 0.343
```

Computed properties:
The density of states at the Fermi level is 0.30 states/eV per atom. As for the formation energy from the elements: -21.0 meV per atom. The value obtained for the volume is 24.814 A^3/atom. The energy is -0.843 eV per atom. The value obtained for the spin magnetization is 0.00 μB/cell.